[1]
The following is a DFT calculation (PBE) of a relaxed Y2Al3Cu12Ag crystal. Values from VASP.

Computed properties:
Space group = R-3m, No. 166
Crystal system = trigonal
Calculated formation energy = 1.76 eV/f.u.

Cell and atoms, written as Quantum ESPRESSO input:
```
&SYSTEM
  ibrav = 0, nat = 18, ntyp = 4
/
ATOMIC_SPECIES
Al 26.98 Al.upf
Cu 63.55 Cu.upf
Ag 107.87 Ag.upf
Y 88.91 Y.upf
ATOMIC_POSITIONS crystal
Al 0.000 0.000 0.500
Cu 0.584 0.584 0.186
Cu 0.814 0.416 0.416
Cu 0.584 0.186 0.584
Cu 0.416 0.814 0.416
Cu 0.122 0.566 0.122
Cu 0.878 0.434 0.878
Al 0.500 0.000 0.000
Ag 0.000 0.000 0.000
Y 0.642 0.642 0.642
Cu 0.122 0.122 0.566
Cu 0.878 0.878 0.434
Al 0.000 0.500 0.000
Cu 0.186 0.584 0.584
Cu 0.434 0.878 0.878
Y 0.358 0.358 0.358
Cu 0.566 0.122 0.122
Cu 0.416 0.416 0.814
CELL_PARAMETERS angstrom
2.171 8.234 5.816
4.639 3.503 8.517
7.392 6.063 3.865
```

=====

[2]
The following is a DFT calculation (PBE) of a relaxed Ac12Pd6Pb crystal. Values from VASP.

Computed properties:
Space group = Im-3, No. 204
Crystal system = cubic
Calculated formation energy = -10.79 eV/f.u.

Cell and atoms, written as Quantum ESPRESSO input:
```
&SYSTEM
  ibrav = 0, nat = 19, ntyp = 3
/
ATOMIC_SPECIES
Ac 227.00 Ac.upf
Pd 106.42 Pd.upf
Pb 207.20 Pb.upf
ATOMIC_POSITIONS crystal
Ac 0.818 0.693 0.511
Ac 0.693 0.511 0.818
Ac 0.874 0.182 0.693
Ac 0.307 0.489 0.182
Pd 0.370 0.500 0.870
Ac 0.126 0.818 0.307
Ac 0.693 0.874 0.182
Pb 0.000 0.000 0.000
Pd 0.870 0.370 0.500
Ac 0.182 0.307 0.489
Pd 0.630 0.500 0.130
Ac 0.182 0.693 0.874
Ac 0.307 0.126 0.818
Ac 0.818 0.307 0.126
Ac 0.511 0.818 0.693
Pd 0.500 0.870 0.370
Pd 0.500 0.130 0.630
Pd 0.130 0.630 0.500
Ac 0.489 0.182 0.307
CELL_PARAMETERS angstrom
8.966 0.000 -3.170
-4.483 7.765 -3.170
0.000 0.000 9.510
```

=====

[3]
The following is a DFT calculation (PBE) of a relaxed Pu2ZnGa crystal. Values from VASP.

Computed properties:
Space group = P4/mmm, No. 123
Crystal system = tetragonal
Calculated formation energy = -0.58 eV/f.u.

Cell and atoms, written as Quantum ESPRESSO input:
```
&SYSTEM
  ibrav = 0, nat = 4, ntyp = 3
/
ATOMIC_SPECIES
Zn 65.41 Zn.upf
Pu 244.00 Pu.upf
Ga 69.72 Ga.upf
ATOMIC_POSITIONS crystal
Zn 0.500 0.500 0.500
Pu 0.000 0.000 0.752
Pu 0.000 0.000 0.248
Ga 0.500 0.500 0.000
CELL_PARAMETERS angstrom
3.834 0.000 0.000
0.000 3.834 0.000
0.000 0.000 5.995
```

=====

[4]
The following is a DFT calculation (PBE) of a relaxed Mg4Pt2Rh crystal. Values from VASP.

Computed properties:
Space group = R-3m, No. 166
Crystal system = trigonal
Calculated formation energy = -4.70 eV/f.u.

Cell and atoms, written as Quantum ESPRESSO input:
```
&SYSTEM
  ibrav = 0, nat = 7, ntyp = 3
/
ATOMIC_SPECIES
Mg 24.30 Mg.upf
Pt 195.08 Pt.upf
Rh 102.91 Rh.upf
ATOMIC_POSITIONS crystal
Mg 0.128 0.128 0.617
Pt 0.746 0.746 0.761
Rh 0.000 0.000 0.000
Pt 0.254 0.254 0.239
Mg 0.619 0.619 0.142
Mg 0.381 0.381 0.858
Mg 0.872 0.872 0.383
CELL_PARAMETERS angstrom
-3.871 -2.240 0.130
-0.009 -4.467 -0.248
-0.827 -2.630 7.041
```

=====

[5]
The following is a DFT calculation (PBE) of a relaxed Th2SbHRh6 crystal. Values from VASP.

Computed properties:
Calculated total energy = -0.2572 Ha/atom
Space group = P4/mmm, No. 123
Crystal system = tetragonal

Cell and atoms, written as Quantum ESPRESSO input:
```
&SYSTEM
  ibrav = 0, nat = 10, ntyp = 4
/
ATOMIC_SPECIES
Sb 121.76 Sb.upf
Rh 102.91 Rh.upf
Th 232.04 Th.upf
H 1.01 H.upf
ATOMIC_POSITIONS crystal
Sb 0.500 0.500 0.000
Rh 0.500 0.500 0.299
Th 0.000 0.000 0.732
Rh 0.500 0.000 0.000
H 0.500 0.500 0.500
Rh 0.000 0.500 0.000
Rh 0.500 0.500 0.701
Th 0.000 0.000 0.268
Rh 0.000 0.500 0.500
Rh 0.500 0.000 0.500
CELL_PARAMETERS angstrom
-2.727 2.709 -2.694
-3.034 -3.547 -0.495
-4.107 2.572 6.744
```

=====

[6]
The following is a DFT calculation (PBE) of a relaxed MnAs2Ru crystal. Values from VASP.

Computed properties:
Space group = P2/m, No. 10
Crystal system = monoclinic
Calculated formation energy = 0.06 eV/f.u.

Cell and atoms, written as Quantum ESPRESSO input:
```
&SYSTEM
  ibrav = 0, nat = 4, ntyp = 3
/
ATOMIC_SPECIES
Ru 101.07 Ru.upf
As 74.92 As.upf
Mn 54.94 Mn.upf
ATOMIC_POSITIONS crystal
Ru 0.000 0.000 0.500
As 0.500 0.500 0.000
As 0.000 0.000 0.000
Mn 0.500 0.500 0.500
CELL_PARAMETERS angstrom
3.039 0.000 0.000
0.000 5.171 0.003
0.000 3.423 3.805
```

=====

[7]
The following is a DFT calculation (PBE) of a relaxed SrCaIn2 crystal. Values from VASP.

Computed properties:
Space group = Fm-3m, No. 225
Crystal system = cubic
Calculated formation energy = -1.77 eV/f.u.

Cell and atoms, written as Quantum ESPRESSO input:
```
&SYSTEM
  ibrav = 0, nat = 4, ntyp = 3
/
ATOMIC_SPECIES
In 114.82 In.upf
Ca 40.08 Ca.upf
Sr 87.62 Sr.upf
ATOMIC_POSITIONS crystal
In 0.750 0.750 0.750
In 0.250 0.250 0.250
Ca 0.000 0.000 0.000
Sr 0.500 0.500 0.500
CELL_PARAMETERS angstrom
0.000 3.967 3.967
3.967 0.000 3.967
3.967 3.967 0.000
```

=====

For each record above, in turn, the calculated magnetization values are 0.00 0.00 11.59 0.00 0.00 2.49 0.00 μB/f.u..